(1)
The following is a DFT calculation (SCAN) of a crystal of NaTl2Bi relaxed with PBEsol.

Formation enthalpy at 0 K: -0.2167 eV per atom
Density of states at the Fermi level: 0.5 states/eV/cell
DFT total energy: -228.38 eV per cell

Lattice parameters (Å, degrees): 5.458 5.458 5.458 60.00 60.00 60.00
Atoms (fractional coordinates):
Na: 0.500 0.500 0.500
Tl: 0.750 0.750 0.750
Tl: 0.250 0.250 0.250
Bi: 0.000 0.000 0.000

=====

(2)
The following is a DFT calculation (SCAN) of a crystal of Na2TlBi relaxed with PBEsol.

Formation enthalpy at 0 K: -0.3561 eV per atom
Density of states at the Fermi level: 0.7 states/eV/cell
DFT total energy: -160.79 eV per cell

Lattice parameters (Å, degrees): 5.355 5.355 5.355 60.00 60.00 60.00
Atoms (fractional coordinates):
Na: 0.750 0.750 0.750
Na: 0.250 0.250 0.250
Tl: 0.000 0.000 0.000
Bi: 0.500 0.500 0.500

=====

(3)
The following is a DFT calculation (SCAN) of a crystal of NaY3Bi relaxed with PBEsol.

Formation enthalpy at 0 K: 0.1826 eV per atom
Density of states at the Fermi level: 5.8 states/eV/cell
DFT total energy: -165.41 eV per cell
E above lowest polymorph: 0 meV per atom

Lattice parameters (Å, degrees): 5.840 5.840 5.840 90.00 90.00 90.00
Last column: magnetic moment on the atom in μB.
Atoms (fractional coordinates):
Y: 0.000 0.500 0.000  0.40
Y: 0.000 0.000 0.500  0.40
Y: 0.500 0.000 0.000  0.40
Na: 0.500 0.500 0.500  0.01
Bi: 0.000 0.000 0.000  0.00

=====

(4)
The following is a DFT calculation (SCAN) of a crystal of NaYBi2 relaxed with PBEsol.

Formation enthalpy at 0 K: -0.5355 eV per atom
Density of states at the Fermi level: 3.5 states/eV/cell
DFT total energy: -191.36 eV per cell

Lattice parameters (Å, degrees): 5.425 5.425 5.425 60.00 60.00 60.00
Atoms (fractional coordinates):
Y: 0.500 0.500 0.500
Na: 0.000 0.000 0.000
Bi: 0.250 0.250 0.250
Bi: 0.750 0.750 0.750

=====

(5)
The following is a DFT calculation (SCAN) of a crystal of NaY3Bi relaxed with PBEsol.

Formation enthalpy at 0 K: 0.5647 eV per atom
Density of states at the Fermi level: 6.1 states/eV/cell
DFT total energy: -163.50 eV per cell
E above lowest polymorph: 382 meV per atom

Lattice parameters (Å, degrees): 5.387 5.387 5.387 90.00 90.00 90.00
Last column: magnetic moment on the atom in μB.
Atoms (fractional coordinates):
Y: 0.000 0.500 0.000  0.22
Y: 0.000 0.000 0.500  0.22
Y: 0.500 0.000 0.000  0.22
Na: 0.000 0.000 0.000  0.04
Bi: 0.500 0.500 0.500  0.01

=====

(6)
The following is a DFT calculation (SCAN) of a crystal of NaZn2Bi2 relaxed with PBEsol.

Formation enthalpy at 0 K: -0.1094 eV per atom
Density of states at the Fermi level: 1.1 states/eV/cell
DFT total energy: -188.95 eV per cell

Lattice parameters (Å, degrees): 4.077 4.077 8.311 104.20 104.20 90.00
Atoms (fractional coordinates):
Na: 0.000 0.000 0.000
Zn: 0.250 0.750 0.500
Zn: 0.750 0.250 0.500
Bi: 0.374 0.374 0.747
Bi: 0.626 0.626 0.253

=====

Q: Among the records above, which one has the lowest formation enthalpy at 0 K?
A: NaYBi2

=====

Q: What is the formula in the fourth record?
A: NaYBi2